Compound: Ir3Pt
Source: Alexandria
Functional: meta-GGA SCAN
Structure: single point on PBEsol structure

Unit cell a=4.7182 b=8.9167 c=5.4446 alpha=90.00 beta=90.00 gamma=90.00
Positions (direct):
Ir 0.0792 0.2500 0.1304
Ir 0.2459 0.5018 0.8754
Ir 0.2459 0.9982 0.8754
Ir 0.2541 0.0018 0.3754
Ir 0.2541 0.4982 0.3754
Ir 0.4208 0.7500 0.6304
Ir 0.5792 0.2500 0.3696
Ir 0.7459 0.5018 0.6246
Ir 0.7459 0.9982 0.6246
Ir 0.7541 0.0018 0.1246
Ir 0.7541 0.4982 0.1246
Ir 0.9208 0.7500 0.8696
Pt 0.0865 0.2500 0.6241
Pt 0.4135 0.7500 0.1241
Pt 0.5865 0.2500 0.8759
Pt 0.9135 0.7500 0.3759

Summary:
The value obtained for the final energy is -1131.9 eV per cell. As for the density of states at the Fermi level: 17.777 states/eV per cell. The value obtained for the energy relative to the elements is 0.1269 eV/atom. The calculated density is 22.4 g/cm³.



Compound: Ir2Pt
Source: Alexandria
Functional: meta-GGA SCAN
Structure: single point on PBEsol structure

Unit cell a=2.7380 b=3.8449 c=8.1795 alpha=90.00 beta=90.00 gamma=90.00
Positions (direct):
Ir 0.0000 0.0000 0.1694
Ir 0.0000 0.0000 0.8306
Ir 0.5000 0.5000 0.3306
Ir 0.5000 0.5000 0.6694
Pt 0.0000 0.0000 0.5000
Pt 0.5000 0.5000 0.0000

Summary:
The value obtained for the final energy is -424.3 eV per cell. Its distance to the lowest polymorph of the same formula is 25 meV per atom. As for the density of states at the Fermi level: 6.273 states/eV per cell. The value obtained for the energy relative to the elements is 0.0874 eV/atom. The calculated density is 22.4 g/cm³.



Compound: Ir8Pt
Source: Alexandria
Functional: meta-GGA SCAN
Structure: single point on PBEsol structure

Unit cell a=6.0748 b=6.0748 c=6.0748 alpha=95.71 beta=95.71 gamma=143.22
Positions (direct):
Ir 0.0000 0.3357 0.3357
Ir 0.0000 0.6643 0.6643
Ir 0.3306 0.3306 0.6612
Ir 0.3306 0.6694 0.0000
Ir 0.3357 0.0000 0.3357
Ir 0.6643 0.0000 0.6643
Ir 0.6694 0.3306 0.0000
Ir 0.6694 0.6694 0.3388
Pt 0.0000 0.0000 0.0000

Summary:
The value obtained for the final energy is -638.7 eV per cell. As for the density of states at the Fermi level: 7.203 states/eV per cell. The value obtained for the energy relative to the elements is 0.0314 eV/atom. The calculated density is 22.6 g/cm³.



Compound: IrPt
Source: Alexandria
Functional: meta-GGA SCAN
Structure: single point on PBEsol structure

Unit cell a=2.7232 b=2.7232 c=9.1129 alpha=90.00 beta=90.00 gamma=120.00
Positions (direct):
Ir 0.3333 0.6667 0.3819
Ir 0.6667 0.3333 0.6181
Pt 0.3333 0.6667 0.8698
Pt 0.6667 0.3333 0.1302

Summary:
The value obtained for the final energy is -282.0 eV per cell. As for the density of states at the Fermi level: 3.818 states/eV per cell. The value obtained for the energy relative to the elements is 0.1409 eV/atom. The calculated density is 22.0 g/cm³.



Compound: IrPt8
Source: Alexandria
Functional: meta-GGA SCAN
Structure: single point on PBEsol structure

Unit cell a=6.1761 b=6.1761 c=6.1761 alpha=95.72 beta=95.72 gamma=143.18
Positions (direct):
Ir 0.0000 0.0000 0.0000
Pt 0.0000 0.3318 0.3318
Pt 0.0000 0.6682 0.6682
Pt 0.3318 0.0000 0.3318
Pt 0.3348 0.3348 0.6696
Pt 0.3348 0.6652 0.0000
Pt 0.6652 0.3348 0.0000
Pt 0.6652 0.6652 0.3304
Pt 0.6682 0.0000 0.6682

Summary:
The value obtained for the final energy is -631.9 eV per cell. As for the density of states at the Fermi level: 15.087 states/eV per cell. The value obtained for the energy relative to the elements is 0.0786 eV/atom. The calculated density is 21.7 g/cm³.



Compound: Ir3Pt
Source: Alexandria
Functional: meta-GGA SCAN
Structure: single point on PBEsol structure

Unit cell a=5.4355 b=7.6926 c=2.7321 alpha=90.00 beta=90.00 gamma=90.00
Positions (direct):
Ir 0.0000 0.0000 0.0000
Ir 0.2500 0.2500 0.5000
Ir 0.2500 0.7500 0.5000
Ir 0.5000 0.5000 0.0000
Ir 0.7500 0.2500 0.5000
Ir 0.7500 0.7500 0.5000
Pt 0.0000 0.5000 0.0000
Pt 0.5000 0.0000 0.0000

Summary:
The value obtained for the final energy is -566.2 eV per cell. As for the density of states at the Fermi level: 8.278 states/eV per cell. The value obtained for the energy relative to the elements is 0.0971 eV/atom. The calculated density is 22.4 g/cm³.